# 1
This record from Alexandria describes crystalline Ti2NiPd8 at its relaxed geometry. The functional is PBE.

Computed properties:
Crystal system: orthorhombic
SG: Immm, No. 71
Total magnetic moment in Bohr magnetons per cell: 0.0
Excess energy over the best structure of this formula in the dataset in meV per atom: 33

Cell and atoms, written as POSCAR:
```
Ti2NiPd8
1.0
-2.090 3.582 5.679
2.090 -3.582 5.679
2.090 3.582 -5.679
Ti Ni Pd
2 1 8
Direct
0.198 0.198 0.000 Ti
0.802 0.802 0.000 Ti
0.500 0.500 0.000 Ni
0.066 0.345 0.721 Pd
0.192 0.000 0.192 Pd
0.353 0.853 0.500 Pd
0.376 0.655 0.721 Pd
0.624 0.345 0.279 Pd
0.647 0.147 0.500 Pd
0.808 0.000 0.808 Pd
0.934 0.655 0.279 Pd
```


# 2
This record from Alexandria describes crystalline Ti4NiPd7 at its relaxed geometry. The functional is PBE.

Computed properties:
Crystal system: monoclinic
SG: C2/m, No. 12
Total magnetic moment in Bohr magnetons per cell: 0.8

Cell and atoms, written as POSCAR:
```
Ti4NiPd7
1.0
5.237 -2.337 0.000
5.237 2.337 0.000
-4.359 0.000 8.150
Ti Ni Pd
4 1 7
Direct
0.085 0.085 0.278 Ti
0.251 0.251 0.833 Ti
0.749 0.749 0.167 Ti
0.915 0.915 0.722 Ti
0.500 0.500 0.500 Ni
0.000 0.000 0.500 Pd
0.137 0.137 0.034 Pd
0.294 0.294 0.588 Pd
0.426 0.426 0.172 Pd
0.574 0.574 0.828 Pd
0.706 0.706 0.412 Pd
0.863 0.863 0.966 Pd
```


# 3
This record from Alexandria describes crystalline Ti8Ni2Pd at its relaxed geometry. The functional is PBE.

Computed properties:
Crystal system: monoclinic
SG: C2/m, No. 12
Total magnetic moment in Bohr magnetons per cell: 0.0

Cell and atoms, written as POSCAR:
```
Ti8Ni2Pd
1.0
3.537 -5.966 0.000
3.537 5.966 0.000
-1.708 0.000 4.249
Ti Ni Pd
8 2 1
Direct
0.100 0.333 0.596 Ti
0.222 0.778 0.000 Ti
0.333 0.100 0.596 Ti
0.397 0.397 0.192 Ti
0.603 0.603 0.808 Ti
0.667 0.900 0.404 Ti
0.778 0.222 0.000 Ti
0.900 0.667 0.404 Ti
0.299 0.701 0.500 Ni
0.701 0.299 0.500 Ni
0.000 0.000 0.000 Pd
```


# 4
This record from Alexandria describes crystalline TiNi2Pd at its relaxed geometry. The functional is PBE.

Computed properties:
Crystal system: hexagonal
SG: P-6m2, No. 187
Total magnetic moment in Bohr magnetons per cell: 0.0

Cell and atoms, written as POSCAR:
```
TiNi2Pd
1.0
4.189 0.000 0.000
-2.095 3.628 0.000
0.000 0.000 4.683
Ti Ni Pd
1 2 1
Direct
0.000 0.000 0.000 Ti
0.333 0.667 0.000 Ni
0.667 0.333 0.000 Ni
0.333 0.667 0.500 Pd
```


# 5
This record from Alexandria describes crystalline Ti5Ni2Pd12 at its relaxed geometry. The functional is PBE.

Computed properties:
Crystal system: monoclinic
SG: C2/m, No. 12
Total magnetic moment in Bohr magnetons per cell: 0.0

Cell and atoms, written as POSCAR:
```
Ti5Ni2Pd12
1.0
7.354 -2.688 0.000
7.354 2.688 0.000
-1.947 0.000 8.066
Ti Ni Pd
5 2 12
Direct
0.000 0.000 0.000 Ti
0.306 0.306 0.127 Ti
0.379 0.379 0.617 Ti
0.621 0.621 0.383 Ti
0.694 0.694 0.873 Ti
0.257 0.743 0.500 Ni
0.743 0.257 0.500 Ni
0.042 0.562 0.382 Pd
0.079 0.079 0.773 Pd
0.099 0.598 0.887 Pd
0.402 0.901 0.113 Pd
0.438 0.958 0.618 Pd
0.481 0.481 0.156 Pd
0.519 0.519 0.844 Pd
0.562 0.042 0.382 Pd
0.598 0.099 0.887 Pd
0.901 0.402 0.113 Pd
0.921 0.921 0.227 Pd
0.958 0.438 0.618 Pd
```


# 6
This record from Alexandria describes crystalline Ti2NiPd2 at its relaxed geometry. The functional is PBE.

Computed properties:
Crystal system: orthorhombic
SG: Cmmm, No. 65
Total magnetic moment in Bohr magnetons per cell: 0.6
Excess energy over the best structure of this formula in the dataset in meV per atom: 25

Cell and atoms, written as POSCAR:
```
Ti2NiPd2
1.0
1.610 -7.897 0.000
1.610 7.897 0.000
0.000 0.000 3.065
Ti Ni Pd
2 1 2
Direct
0.092 0.908 0.000 Ti
0.908 0.092 0.000 Ti
0.500 0.500 0.500 Ni
0.322 0.678 0.500 Pd
0.678 0.322 0.500 Pd
```


# 7
This record from Alexandria describes crystalline TiNi4Pd at its relaxed geometry. The functional is PBE.

Computed properties:
Crystal system: orthorhombic
SG: Cmcm, No. 63
Total magnetic moment in Bohr magnetons per cell: 1.7
Excess energy over the best structure of this formula in the dataset in meV per atom: 225

Cell and atoms, written as POSCAR:
```
TiNi4Pd
1.0
1.853 -8.199 0.000
1.853 8.199 0.000
0.000 0.000 5.122
Ti Ni Pd
2 8 2
Direct
0.230 0.770 0.750 Ti
0.770 0.230 0.250 Ti
0.074 0.926 0.750 Ni
0.349 0.651 0.023 Ni
0.349 0.651 0.477 Ni
0.500 0.500 0.000 Ni
0.500 0.500 0.500 Ni
0.651 0.349 0.523 Ni
0.651 0.349 0.977 Ni
0.926 0.074 0.250 Ni
0.088 0.912 0.250 Pd
0.912 0.088 0.750 Pd
```


# 8
This record from Alexandria describes crystalline Ti5Ni8Pd at its relaxed geometry. The functional is PBE.

Computed properties:
Crystal system: tetragonal
SG: I-4, No. 82
Total magnetic moment in Bohr magnetons per cell: 0.0

Cell and atoms, written as POSCAR:
```
Ti5Ni8Pd
1.0
-3.609 3.609 3.665
3.609 -3.609 3.665
3.609 3.609 -3.665
Ti Ni Pd
5 8 1
Direct
0.000 0.000 0.000 Ti
0.198 0.564 0.936 Ti
0.436 0.372 0.634 Ti
0.628 0.262 0.064 Ti
0.738 0.802 0.366 Ti
0.164 0.118 0.748 Ni
0.370 0.416 0.252 Ni
0.448 0.040 0.276 Ni
0.584 0.836 0.954 Ni
0.764 0.173 0.724 Ni
0.827 0.552 0.592 Ni
0.882 0.630 0.046 Ni
0.960 0.236 0.408 Ni
0.250 0.750 0.500 Pd
```


# 9
This record from Alexandria describes crystalline Ti5NiPd8 at its relaxed geometry. The functional is PBE.

Computed properties:
Crystal system: tetragonal
SG: I-4, No. 82
Total magnetic moment in Bohr magnetons per cell: 0.0

Cell and atoms, written as POSCAR:
```
Ti5NiPd8
1.0
-3.873 3.873 3.768
3.873 -3.873 3.768
3.873 3.873 -3.768
Ti Ni Pd
5 1 8
Direct
0.000 0.000 0.000 Ti
0.194 0.517 0.913 Ti
0.483 0.396 0.676 Ti
0.604 0.280 0.087 Ti
0.720 0.806 0.324 Ti
0.250 0.750 0.500 Ni
0.153 0.073 0.707 Pd
0.366 0.446 0.293 Pd
0.418 0.017 0.271 Pd
0.554 0.847 0.920 Pd
0.745 0.147 0.729 Pd
0.853 0.582 0.599 Pd
0.927 0.634 0.080 Pd
0.983 0.255 0.401 Pd
```


# 10
This record from Alexandria describes crystalline Ti2NiPd2 at its relaxed geometry. The functional is PBE.

Computed properties:
Crystal system: orthorhombic
SG: Ibam, No. 72
Total magnetic moment in Bohr magnetons per cell: 0.0
Excess energy over the best structure of this formula in the dataset in meV per atom: 0

Cell and atoms, written as POSCAR:
```
Ti2NiPd2
1.0
-2.844 5.579 2.425
2.844 -5.579 2.425
2.844 5.579 -2.425
Ti Ni Pd
4 2 4
Direct
0.168 0.183 0.351 Ti
0.332 0.683 0.015 Ti
0.668 0.317 0.985 Ti
0.832 0.817 0.649 Ti
0.250 0.250 0.000 Ni
0.750 0.750 0.000 Ni
0.106 0.647 0.752 Pd
0.394 0.147 0.541 Pd
0.606 0.853 0.459 Pd
0.894 0.353 0.248 Pd
```


# 11
This record from Alexandria describes crystalline Ti3NiPd2 at its relaxed geometry. The functional is PBE.

Computed properties:
Crystal system: monoclinic
SG: P2/m, No. 10
Total magnetic moment in Bohr magnetons per cell: 0.5

Cell and atoms, written as POSCAR:
```
Ti3NiPd2
1.0
3.991 0.000 0.000
0.000 7.511 0.000
-1.970 0.000 5.986
Ti Ni Pd
6 2 4
Direct
0.000 0.244 0.000 Ti
0.000 0.756 0.000 Ti
0.330 0.236 0.660 Ti
0.330 0.764 0.660 Ti
0.670 0.236 0.340 Ti
0.670 0.764 0.340 Ti
0.169 0.000 0.338 Ni
0.831 0.000 0.662 Ni
0.167 0.500 0.334 Pd
0.500 0.000 0.000 Pd
0.500 0.500 0.000 Pd
0.833 0.500 0.666 Pd
```


Number 1: DFT formation energy -0.363 eV/atom, total DFT energy (no corrections) -67.11 eV for the cell shown. Number 2: DFT formation energy -0.224 eV/atom, total DFT energy (no corrections) -76.39 eV for the cell shown. Number 3: DFT formation energy -0.108 eV/atom, total DFT energy (no corrections) -81.11 eV for the cell shown. Number 4: DFT formation energy 0.536 eV/atom, total DFT energy (no corrections) -22.51 eV for the cell shown. Number 5: DFT formation energy -0.223 eV/atom, total DFT energy (no corrections) -117.59 eV for the cell shown. Number 6: DFT formation energy -0.411 eV/atom, total DFT energy (no corrections) -34.01 eV for the cell shown. Number 7: DFT formation energy -0.092 eV/atom, total DFT energy (no corrections) -73.53 eV for the cell shown. Number 8: DFT formation energy -0.200 eV/atom, total DFT energy (no corrections) -93.72 eV for the cell shown. Number 9: DFT formation energy -0.312 eV/atom, total DFT energy (no corrections) -91.17 eV for the cell shown. Number 10: DFT formation energy -0.436 eV/atom, total DFT energy (no corrections) -68.27 eV for the cell shown. Number 11: DFT formation energy -0.452 eV/atom, total DFT energy (no corrections) -85.13 eV for the cell shown.